(1)
Here is KHoSnBr6 after structural relaxation from Alexandria via LeMat-Bulk. Energies are from PBE.

Its total moment is 0.00 μB per formula unit. As for the energy: -3.693 eV per atom. For the uncorrected formation energy, the calculation gives -1.50 eV per atom.

Cell lengths 7.5495, 7.5498, 7.1621 Å; angles 90.02, 89.99, 59.96 degrees
Fractional positions:
Br (0.6245, 0.3555, 0.7270)
Br (0.3555, 0.6245, 0.2729)
Br (0.0196, 0.6248, 0.7270)
Br (0.6247, 0.0196, 0.2729)
Br (0.0201, 0.3555, 0.2729)
Br (0.3554, 0.0201, 0.7271)
Sn (0.6666, 0.6667, 0.5000)
K (0.0000, 0.0000, 0.0000)
Ho (0.3334, 0.3334, 0.5000)


(2)
Here is KHoSn2Br8 after structural relaxation from Alexandria via LeMat-Bulk. Energies are from PBE.

Its total moment is 0.00 μB per formula unit. As for the energy: -3.533 eV per atom. For the uncorrected formation energy, the calculation gives -1.28 eV per atom.

Cell lengths 7.2091, 6.8118, 9.0666 Å; angles 89.93, 89.98, 88.70 degrees
Fractional positions:
Br (0.6816, 0.7642, 0.9997)
Br (0.6340, 0.7254, 0.4998)
Br (0.8441, 0.2417, 0.7803)
Br (0.3660, 0.2746, 0.5002)
Br (0.1559, 0.7583, 0.2197)
Br (0.1565, 0.7590, 0.7806)
Br (0.8435, 0.2410, 0.2194)
Br (0.3184, 0.2358, 0.0003)
Ho (0.0000, 0.0000, 0.0000)
Sn (0.5001, 0.4999, 0.7494)
Sn (0.4999, 0.5001, 0.2506)
K (0.0000, 0.0000, 0.5000)


(3)
Here is K2HoTlBr6 after structural relaxation from Alexandria via LeMat-Bulk. Energies are from PBE.

Its total moment is 0.00 μB per formula unit. As for the energy: -3.558 eV per atom. For the uncorrected formation energy, the calculation gives -1.64 eV per atom.

Cell lengths 8.0992, 8.0989, 8.4222 Å; angles 61.25, 61.24, 59.96 degrees
Fractional positions:
Br (0.4267, 0.6705, 0.7806)
Br (0.2099, 0.9848, 0.2451)
Br (0.6709, 0.1217, 0.7807)
Br (0.9845, 0.5606, 0.2449)
Br (0.5601, 0.2101, 0.2451)
Br (0.1221, 0.4268, 0.7806)
Tl (0.8135, 0.8136, 0.5590)
Ho (0.3238, 0.3237, 0.0287)
K (0.5307, 0.5304, 0.4083)
K (0.0193, 0.0195, 0.9422)


(4)
Here is KHoZnBr6 after structural relaxation from Alexandria via LeMat-Bulk. Energies are from PBE.

Its total moment is 0.00 μB per formula unit. As for the energy: -3.375 eV per atom. For the uncorrected formation energy, the calculation gives -1.49 eV per atom.

Cell lengths 7.0699, 7.0699, 14.7111 Å; angles 90.00, 90.00, 120.00 degrees
Fractional positions:
K (0.0000, 0.0000, 0.5000)
K (0.0000, 0.0000, 0.0000)
Br (0.6221, 0.6366, 0.6432)
Br (0.0144, 0.6366, 0.8568)
Br (0.3634, 0.9856, 0.6432)
Br (0.0144, 0.3779, 0.6432)
Br (0.3779, 0.0144, 0.1432)
Br (0.9856, 0.6221, 0.3568)
Br (0.6366, 0.0144, 0.3568)
Br (0.6221, 0.9856, 0.8568)
Br (0.3634, 0.3779, 0.8568)
Br (0.9856, 0.3634, 0.1432)
Br (0.3779, 0.3634, 0.3568)
Br (0.6366, 0.6221, 0.1432)
Ho (0.3333, 0.6667, 0.2500)
Ho (0.6667, 0.3333, 0.7500)
Zn (0.6667, 0.3333, 0.2500)
Zn (0.3333, 0.6667, 0.7500)


(5)
Here is La2HoBr after structural relaxation from Alexandria via LeMat-Bulk. Energies are from PBE.

The value obtained for the energy relative to the lowest polymorph listed for this composition is 0.067 eV/atom. Its total moment is 0.00 μB per formula unit. As for the energy: -4.524 eV per atom. For the uncorrected formation energy, the calculation gives -0.50 eV per atom.

Cell lengths 3.6470, 3.6470, 9.7549 Å; angles 90.00, 90.00, 90.00 degrees
Fractional positions:
Br (0.5000, 0.5000, 0.5000)
La (0.0000, 0.0000, 0.7341)
La (0.0000, 0.0000, 0.2659)
Ho (0.5000, 0.5000, 0.0000)


(6)
Here is LaHoBr2 after structural relaxation from Alexandria via LeMat-Bulk. Energies are from PBE.

Its total moment is 0.58 μB per formula unit. As for the energy: -4.227 eV per atom. For the uncorrected formation energy, the calculation gives -1.01 eV per atom.

Cell lengths 3.6548, 3.6548, 10.5657 Å; angles 80.04, 80.04, 60.00 degrees
Last column: magnetic moment on the atom in μB.
Fractional positions:
Br (0.1004, 0.1004, 0.6989)  0.00
Br (0.8996, 0.8996, 0.3011)  0.00
La (0.0000, 0.0000, 0.0000)  0.23
Ho (0.5000, 0.5000, 0.5000)  0.02


(7)
Here is La2HoBr after structural relaxation from Alexandria via LeMat-Bulk. Energies are from PBE.

The value obtained for the energy relative to the lowest polymorph listed for this composition is 0.000 eV/atom. Its total moment is 0.00 μB per formula unit. As for the energy: -4.590 eV per atom. For the uncorrected formation energy, the calculation gives -0.56 eV per atom.

Cell lengths 3.7454, 3.7454, 11.0104 Å; angles 80.21, 80.21, 60.00 degrees
Fractional positions:
Ho (0.5000, 0.5000, 0.5000)
Br (0.0000, 0.0000, 0.0000)
La (0.7431, 0.7431, 0.7707)
La (0.2569, 0.2569, 0.2293)


(8)
Here is La2HoBr2N2 after structural relaxation from Alexandria via LeMat-Bulk. Energies are from PBE.

Its total moment is 0.96 μB per formula unit. As for the energy: -6.421 eV per atom. For the uncorrected formation energy, the calculation gives -1.50 eV per atom.

Cell lengths 4.5076, 4.5076, 8.9467 Å; angles 104.59, 104.59, 90.00 degrees
Last column: magnetic moment on the atom in μB.
Fractional positions:
La (0.5906, 0.5906, 0.1811)  0.32
La (0.4094, 0.4094, 0.8189)  0.32
Br (0.8235, 0.8235, 0.6469)  0.01
Br (0.1765, 0.1765, 0.3531)  0.01
N (0.5000, 0.0000, 0.0000)  -0.02
N (0.0000, 0.5000, 0.0000)  -0.02
Ho (0.0000, 0.0000, 0.0000)  0.02